No. 1
A plane-wave DFT calculation with PBE-GGA was carried out for a geometry-optimized Cs6TbO4 structure.

Values from the calculation:
- N(E_F): 1.82 states/eV/f.u.
- M_tot: 0.000 μB per formula unit
- Electronic total energy: -4.140 eV per atom
- Raw formation energy: -1.45 eV/atom

Cell: 6.853 12.568 12.568 Å, 120.00 90.00 90.00°
Fractional coordinates of all 22 atoms:
1 Cs 0.568 0.696 0.848
2 Cs 0.568 0.152 0.304
3 Cs 0.568 0.152 0.848
4 Cs 0.068 0.304 0.152
5 Cs 0.068 0.848 0.696
6 Cs 0.068 0.848 0.152
7 Cs 0.604 0.878 0.439
8 Cs 0.604 0.561 0.122
9 Cs 0.604 0.561 0.439
10 Cs 0.104 0.122 0.561
11 Cs 0.104 0.439 0.878
12 Cs 0.104 0.439 0.561
13 Tb 0.676 0.333 0.667
14 Tb 0.176 0.667 0.333
15 O 0.358 0.333 0.667
16 O 0.858 0.667 0.333
17 O 0.814 0.514 0.757
18 O 0.814 0.243 0.486
19 O 0.814 0.243 0.757
20 O 0.314 0.486 0.243
21 O 0.314 0.757 0.514
22 O 0.314 0.757 0.243

---

No. 2
A plane-wave DFT calculation with PBE-GGA was carried out for a geometry-optimized CsTbO structure.

Values from the calculation:
- N(E_F): 1.99 states/eV/f.u.
- M_tot: 0.178 μB per formula unit
- Electronic total energy: -5.027 eV per atom
- Raw formation energy: -1.55 eV/atom

Cell: 3.762 3.764 14.538 Å, 89.79 90.00 119.98°
Fractional coordinates of all 6 atoms:
1 Tb 0.163 0.327 0.111
2 Tb 0.837 0.673 0.889
3 Cs 0.494 0.988 0.344
4 Cs 0.506 0.012 0.656
5 O 0.170 0.340 0.843
6 O 0.830 0.660 0.157

---

No. 3
A plane-wave DFT calculation with PBE-GGA was carried out for a geometry-optimized Cs5Tb2O5 structure.

Values from the calculation:
- N(E_F): 1.71 states/eV/f.u.
- M_tot: 0.000 μB per formula unit
- Electronic total energy: -5.151 eV per atom
- Raw formation energy: -1.96 eV/atom

Cell: 4.062 8.765 11.687 Å, 92.97 90.00 103.40°
Fractional coordinates of all 12 atoms:
1 Cs 0.500 0.000 0.500
2 Cs 0.645 0.289 0.949
3 Cs 0.724 0.447 0.299
4 Cs 0.276 0.553 0.701
5 Cs 0.355 0.711 0.051
6 Tb 0.948 0.897 0.827
7 Tb 0.052 0.103 0.173
8 O 0.173 0.346 0.141
9 O 0.464 0.928 0.749
10 O 0.536 0.072 0.251
11 O 0.827 0.654 0.859
12 O 0.000 0.000 0.000

---

No. 4
A plane-wave DFT calculation with PBE-GGA was carried out for a geometry-optimized Cs2TbTcO6 structure.

Values from the calculation:
- M_tot: 0.000 μB per formula unit
- Electronic total energy: -6.532 eV per atom
- Raw formation energy: -1.89 eV/atom

Cell: 5.785 6.685 6.685 Å, 120.00 90.00 90.00°
Fractional coordinates of all 10 atoms:
1 Cs 0.141 0.333 0.667
2 Cs 0.859 0.667 0.333
3 Tb 0.500 0.000 0.000
4 Tc 0.000 0.000 0.000
5 O 0.797 0.131 0.262
6 O 0.797 0.131 0.869
7 O 0.797 0.738 0.869
8 O 0.203 0.869 0.131
9 O 0.203 0.262 0.131
10 O 0.203 0.869 0.738

---

No. 5
A plane-wave DFT calculation with PBE-GGA was carried out for a geometry-optimized Cs3TbTe2O8 structure.

Values from the calculation:
- N(E_F): 3.77 states/eV/f.u.
- M_tot: 1.603 μB per formula unit
- Electronic total energy: -5.447 eV per atom
- Raw formation energy: -1.65 eV/atom

Cell: 6.492 6.492 8.667 Å, 90.00 90.00 120.00°
Last column: magnetic moment on the atom in μB.
Fractional coordinates of all 14 atoms:
1 Cs 0.333 0.667 0.770  0.00
2 Cs 0.667 0.333 0.230  0.00
3 Cs 0.000 0.000 0.000  0.00
4 Tb 0.000 0.000 0.500  0.06
5 Te 0.333 0.667 0.308  0.11
6 Te 0.667 0.333 0.692  0.11
7 O 0.333 0.667 0.094  0.02
8 O 0.667 0.333 0.906  0.02
9 O 0.160 0.840 0.336  0.16
10 O 0.840 0.160 0.664  0.16
11 O 0.160 0.320 0.336  0.16
12 O 0.840 0.680 0.664  0.16
13 O 0.680 0.840 0.336  0.16
14 O 0.320 0.160 0.664  0.16

---

No. 6
A plane-wave DFT calculation with PBE-GGA was carried out for a geometry-optimized Cs2TbTe3O12 structure.

Values from the calculation:
- N(E_F): 12.21 states/eV/f.u.
- M_tot: 0.858 μB per formula unit
- Electronic total energy: -5.659 eV per atom
- Raw formation energy: -1.48 eV/atom

Cell: 7.669 7.669 7.669 Å, 58.07 58.07 58.07°
Last column: magnetic moment on the atom in μB.
Fractional coordinates of all 18 atoms:
1 Cs 0.622 0.622 0.622  0.00
2 Cs 0.378 0.378 0.378  0.00
3 Tb 0.000 0.000 0.000  0.00
4 Te 0.500 0.000 0.000  -0.01
5 Te 0.000 0.500 0.000  -0.01
6 Te 0.000 0.000 0.500  -0.01
7 O 0.315 0.315 0.919  0.05
8 O 0.927 0.927 0.354  0.07
9 O 0.354 0.927 0.927  0.07
10 O 0.919 0.315 0.315  0.05
11 O 0.927 0.354 0.927  0.07
12 O 0.315 0.919 0.315  0.05
13 O 0.685 0.685 0.081  0.05
14 O 0.073 0.073 0.646  0.07
15 O 0.646 0.073 0.073  0.07
16 O 0.081 0.685 0.685  0.05
17 O 0.073 0.646 0.073  0.07
18 O 0.685 0.081 0.685  0.05

---

No. 7
A plane-wave DFT calculation with PBE-GGA was carried out for a geometry-optimized CsTbTe2O8 structure.

Values from the calculation:
- N(E_F): 0.00 states/eV/f.u.
- M_tot: 0.104 μB per formula unit
- Electronic total energy: -5.881 eV per atom
- Raw formation energy: -1.60 eV/atom

Cell: 5.879 5.879 9.124 Å, 90.00 90.00 120.00°
Fractional coordinates of all 12 atoms:
1 Cs 0.000 0.000 0.000
2 Tb 0.000 0.000 0.500
3 Te 0.667 0.333 0.279
4 Te 0.333 0.667 0.721
5 O 0.333 0.667 0.920
6 O 0.339 0.252 0.348
7 O 0.748 0.088 0.348
8 O 0.667 0.333 0.080
9 O 0.252 0.912 0.652
10 O 0.661 0.748 0.652
11 O 0.088 0.339 0.652
12 O 0.912 0.661 0.348

---

No. 8
A plane-wave DFT calculation with PBE-GGA was carried out for a geometry-optimized CsTb3Te4O12 structure.

Values from the calculation:
- N(E_F): 3.48 states/eV/f.u.
- M_tot: 0.000 μB per formula unit
- Electronic total energy: -6.120 eV per atom
- Raw formation energy: -1.78 eV/atom

Cell: 7.421 7.421 7.421 Å, 103.25 103.25 103.25°
Fractional coordinates of all 20 atoms:
1 Cs 0.000 0.000 0.000
2 Tb 0.575 0.425 0.000
3 Tb 0.425 0.000 0.575
4 Tb 0.000 0.575 0.425
5 Te 0.908 0.092 0.500
6 Te 0.092 0.500 0.908
7 Te 0.500 0.908 0.092
8 Te 0.500 0.500 0.500
9 O 0.500 0.324 0.676
10 O 0.926 0.500 0.074
11 O 0.074 0.926 0.500
12 O 0.500 0.074 0.926
13 O 0.407 0.063 0.292
14 O 0.292 0.407 0.063
15 O 0.063 0.292 0.407
16 O 0.593 0.708 0.937
17 O 0.937 0.593 0.708
18 O 0.708 0.937 0.593
19 O 0.676 0.500 0.324
20 O 0.324 0.676 0.500

---

No. 9
A plane-wave DFT calculation with PBE-GGA was carried out for a geometry-optimized Cs2TbTe2O6 structure.

Values from the calculation:
- N(E_F): 2.31 states/eV/f.u.
- M_tot: 0.000 μB per formula unit
- Electronic total energy: -5.497 eV per atom
- Raw formation energy: -1.65 eV/atom

Cell: 6.617 6.118 7.634 Å, 106.97 90.00 122.73°
Fractional coordinates of all 11 atoms:
1 Cs 0.702 0.404 0.141
2 Cs 0.298 0.596 0.859
3 Tb 0.500 0.000 0.500
4 Te 0.917 0.834 0.741
5 Te 0.083 0.166 0.259
6 O 0.735 0.470 0.555
7 O 0.243 0.976 0.279
8 O 0.266 0.024 0.721
9 O 0.757 0.024 0.721
10 O 0.734 0.976 0.279
11 O 0.265 0.530 0.445

---

No. 10
A plane-wave DFT calculation with PBE-GGA was carried out for a geometry-optimized Cs2TbTi2O7 structure.

Values from the calculation:
- N(E_F): 6.42 states/eV/f.u.
- M_tot: 0.652 μB per formula unit
- Electronic total energy: -7.321 eV per atom
- Raw formation energy: -2.58 eV/atom

Cell: 3.925 3.925 12.776 Å, 81.17 81.17 90.00°
Last column: magnetic moment on the atom in μB.
Fractional coordinates of all 12 atoms:
1 Cs 0.815 0.815 0.370  0.00
2 Cs 0.185 0.185 0.630  0.00
3 Tb 0.000 0.000 0.000  -0.01
4 Ti 0.582 0.582 0.836  -0.02
5 Ti 0.418 0.418 0.164  -0.02
6 O 0.500 0.500 0.000  0.25
7 O 0.346 0.346 0.308  0.02
8 O 0.654 0.654 0.692  0.02
9 O 0.933 0.434 0.134  0.07
10 O 0.434 0.933 0.134  0.07
11 O 0.566 0.067 0.866  0.07
12 O 0.067 0.566 0.866  0.07

---

No. 11
A plane-wave DFT calculation with PBE-GGA was carried out for a geometry-optimized CsTbTiO4 structure.

Values from the calculation:
- N(E_F): 0.00 states/eV/f.u.
- M_tot: 0.000 μB per formula unit
- Electronic total energy: -7.674 eV per atom
- Raw formation energy: -2.93 eV/atom

Cell: 5.975 6.105 8.143 Å, 90.00 109.14 90.00°
Fractional coordinates of all 14 atoms:
1 Cs 0.697 0.750 0.934
2 Cs 0.303 0.250 0.066
3 Tb 0.811 0.750 0.460
4 Tb 0.189 0.250 0.540
5 Ti 0.269 0.750 0.354
6 Ti 0.731 0.250 0.646
7 O 0.946 0.475 0.656
8 O 0.054 0.975 0.344
9 O 0.054 0.525 0.344
10 O 0.946 0.025 0.656
11 O 0.465 0.750 0.222
12 O 0.535 0.250 0.778
13 O 0.490 0.750 0.563
14 O 0.510 0.250 0.437

---

No. 12
A plane-wave DFT calculation with PBE-GGA was carried out for a geometry-optimized Cs2TbU3O12 structure.

Values from the calculation:
- N(E_F): 14.49 states/eV/f.u.
- M_tot: 0.000 μB per formula unit
- Electronic total energy: -8.459 eV per atom
- Raw formation energy: -2.92 eV/atom

Cell: 7.901 7.901 7.901 Å, 61.57 61.57 61.57°
Fractional coordinates of all 18 atoms:
1 Cs 0.620 0.620 0.620
2 Cs 0.380 0.380 0.380
3 Tb 0.000 0.000 0.000
4 U 0.500 0.000 0.000
5 U 0.000 0.500 0.000
6 U 0.000 0.000 0.500
7 O 0.310 0.310 0.930
8 O 0.931 0.931 0.337
9 O 0.337 0.931 0.931
10 O 0.930 0.310 0.310
11 O 0.931 0.337 0.931
12 O 0.310 0.930 0.310
13 O 0.690 0.690 0.070
14 O 0.069 0.069 0.663
15 O 0.663 0.069 0.069
16 O 0.070 0.690 0.690
17 O 0.069 0.663 0.069
18 O 0.690 0.070 0.690